# Ho2MnFe

Ho2MnFe after structural relaxation (GGA-PBE, Alexandria via LeMat-Bulk).

- Energy of formation from the pure elements: 61.9 kJ per mole of atoms
- Fermi-level density of states: 3.5 states/eV/cell
- Uncorrected energy: -24.22 eV/cell
- SG: R-3m, No. 166
- Spin magnetization: 4.50 μB/cell

Unit cell a=3.2823 b=3.2823 c=9.8814 alpha=80.44 beta=80.44 gamma=60.00
Fractional coordinates of all 4 atoms:
Mn1 0.0000 0.0000 0.0000
Ho1 0.1001 0.1001 0.6997
Ho2 0.8999 0.8999 0.3003
Fe1 0.5000 0.5000 0.5000

=====

# Ho2Mn2Fe15

Ho2Mn2Fe15 after structural relaxation (GGA-PBE, Alexandria via LeMat-Bulk).

- Energy of formation from the pure elements: 0.2 kJ per mole of atoms
- Fermi-level density of states: 24.7 states/eV/cell
- Uncorrected energy: -154.39 eV/cell
- SG: R-3m, No. 166
- Spin magnetization: 20.40 μB/cell

Unit cell a=6.2925 b=6.2925 c=6.2925 alpha=82.15 beta=82.15 gamma=82.15
Fractional coordinates of all 19 atoms:
Ho1 0.3454 0.3454 0.3454
Ho2 0.6546 0.6546 0.6546
Mn1 0.0907 0.0907 0.0907
Mn2 0.9093 0.9093 0.9093
Fe1 0.5000 0.0000 0.0000
Fe2 0.0000 0.0000 0.5000
Fe3 0.0000 0.5000 0.0000
Fe4 0.0000 0.6981 0.3019
Fe5 0.6981 0.3019 0.0000
Fe6 0.3019 0.0000 0.6981
Fe7 0.3019 0.6981 0.0000
Fe8 0.6981 0.0000 0.3019
Fe9 0.0000 0.3019 0.6981
Fe10 0.1545 0.6622 0.6622
Fe11 0.6622 0.6622 0.1545
Fe12 0.6622 0.1545 0.6622
Fe13 0.8455 0.3378 0.3378
Fe14 0.3378 0.3378 0.8455
Fe15 0.3378 0.8455 0.3378